[1]
## CeNdHoZr (PBE)

Data for CeNdHoZr after structural relaxation.

Mass density   7.536 Mg/m³
Volume   119 Å³/cell
E_tot   -5.693 eV/atom
Space-group type   F-43m (216)

Unit cell a=5.5227 b=5.5227 c=5.5227 alpha=60.00 beta=60.00 gamma=60.00
Last column: nearest neighbours and their distance in Å.
Fractional positions:
Nd 0.7500 0.7500 0.7500  4 Ce 3.38, 4 Ho 3.38
Ho 0.0000 0.0000 0.0000  4 Zr 3.38, 4 Nd 3.38
Ce 0.5000 0.5000 0.5000  4 Nd 3.38, 4 Zr 3.38
Zr 0.2500 0.2500 0.2500  4 Ce 3.38, 4 Ho 3.38

***

[2]
## Ce3HoNi8 (PBE)

Data for Ce3HoNi8 after structural relaxation.

Mass density   9.471 Mg/m³
Volume   185 Å³/cell
E_tot   -6.115 eV/atom
Space-group type   R3m (160)

Unit cell a=5.0797 b=5.0797 c=8.7801 alpha=73.19 beta=73.19 gamma=60.00
Last column: nearest neighbours and their distance in Å.
Fractional positions:
Ce 0.3720 0.3720 0.8840  12 Ni 2.94-3.03, 4 Ce 3.06-3.07
Ce 0.0037 0.0037 0.9888  12 Ni 2.93-3.04, 3 Ce 3.06, 1 Ho 3.14
Ce 0.4956 0.4956 0.5132  12 Ni 2.91-3.04, 1 Ce 3.07, 3 Ho 3.17
Ni 0.9336 0.4378 0.1907  6 Ni 2.51-2.56
Ni 0.9372 0.9372 0.6838  6 Ni 2.52-2.56
Ni 0.4417 0.9372 0.6838  6 Ni 2.52-2.56
Ni 0.6877 0.6877 0.9368  6 Ni 2.55-2.56
Ni 0.4378 0.9336 0.1907  6 Ni 2.51-2.56
Ni 0.9372 0.4417 0.6838  6 Ni 2.52-2.56
Ni 0.1879 0.1879 0.4362  6 Ni 2.51-2.53
Ni 0.4378 0.4378 0.1907  6 Ni 2.51-2.56
Ho 0.8774 0.8774 0.3677  12 Ni 2.93-2.99, 4 Ce 3.14-3.17